# 1
The following is a PBEsol calculation of KTeBr after structural relaxation, from Alexandria via LeMat-Bulk.

Raw total energy ... -0.0930 Ha/atom
Energy relative to the elements, uncorrected ... -354 meV/atom
Size of the total moment ... 7.96 Bohr magnetons per cell

a b c (Å): 7.801 7.801 7.801
angles (deg): 90.00 90.00 90.00
Positions (direct):
K 0.000 0.000 0.000
K 0.000 0.500 0.500
K 0.500 0.000 0.500
K 0.500 0.500 0.000
Te 0.000 0.000 0.500
Te 0.000 0.500 0.000
Te 0.500 0.000 0.000
Te 0.500 0.500 0.500
Br 0.250 0.250 0.250
Br 0.250 0.750 0.750
Br 0.750 0.250 0.750
Br 0.750 0.750 0.250

***

# 2
The following is a PBEsol calculation of La4TaCu after structural relaxation, from Alexandria via LeMat-Bulk.

Raw total energy ... -0.1988 Ha/atom
Size of the total moment ... 1.06 Bohr magnetons per cell
Energy of formation ... 0.969 eV per atom

a b c (Å): 6.138 6.138 6.138
angles (deg): 60.00 60.00 60.00
Positions (direct):
La 0.376 0.376 0.376
La 0.376 0.376 0.873
La 0.376 0.873 0.376
La 0.873 0.376 0.376
Ta 0.750 0.750 0.750
Cu 0.000 0.000 0.000

***

# 3
The following is a PBEsol calculation of CuPb2W after structural relaxation, from Alexandria via LeMat-Bulk.

Raw total energy ... -0.2073 Ha/atom
Size of the total moment ... 0.00 Bohr magnetons per cell
Energy above the lowest structure with this stoichiometry ... 0.000 eV per atom
Energy of formation ... 0.894 eV per atom

a b c (Å): 4.804 4.804 3.339
angles (deg): 90.00 90.00 90.00
Positions (direct):
Cu 0.000 0.000 0.000
Pb 0.000 0.500 0.500
Pb 0.500 0.000 0.500
W 0.500 0.500 0.000